A plane-wave DFT calculation with PBE was carried out for Li4Ag2Pb after structural relaxation.

The energy of formation comes out at -132 kJ/mol of formula units. For the final energy, the calculation gives -18.43 eV/f.u. The energy relative to the lowest polymorph listed for this composition comes out at 0.0000 eV/atom. The value obtained for the size of the total moment is 0.0000 μB per atom.

a = 3.048 Å, b = 4.476 Å, c = 18.379 Å
α = 90.00°, β = 90.00°, γ = 90.00°
Space group Immm (No. 71)
Symmetry-distinct sites (fractional):
Li 0.000 0.000 0.073 [4 per cell]
Li 0.000 0.500 0.150 [4 per cell]
Ag 0.000 0.500 0.293 [4 per cell]
Pb 0.000 0.000 0.500 [2 per cell]